[1]
# SrTeSe2

An optimized crystal structure of SrTeSe2 (GGA-PBEsol, Alexandria via LeMat-Bulk).

The space group is I4/mmm, No. 139. The value obtained for the formation energy without anion corrections is -0.60 eV per atom. The theoretical density is 6.1 g cm⁻³.

Lattice parameters (Å, degrees): 5.9558 5.9558 5.9558 135.88 135.88 64.17
Sites, in units of the cell vectors:
Sr (0.0000, 0.0000, 0.0000)
Te (0.5000, 0.5000, 0.0000)
Se (0.2500, 0.7500, 0.5000)
Se (0.7500, 0.2500, 0.5000)

***

[2]
# NbAlAg2Pd

An optimized crystal structure of NbAlAg2Pd (GGA-PBEsol, Alexandria via LeMat-Bulk).

The space group is P4/mmm, No. 123. The theoretical density is 7.0 g cm⁻³. The value obtained for the raw total energy is -22.808 eV per cell.

Lattice parameters (Å, degrees): 4.8770 4.8770 4.4221 90.00 90.00 90.00
Sites, in units of the cell vectors:
Nb (0.0000, 0.0000, 0.0000)
Al (0.5000, 0.5000, 0.0000)
Ag (0.0000, 0.5000, 0.5000)
Ag (0.5000, 0.0000, 0.5000)
Pd (0.5000, 0.5000, 0.5000)

***

[3]
# CoIrSe2

An optimized crystal structure of CoIrSe2 (GGA-PBEsol, Alexandria via LeMat-Bulk).

The space group is Imm2, No. 44. The value obtained for the formation energy without anion corrections is 0.38 eV per atom. The theoretical density is 11.5 g cm⁻³.

Lattice parameters (Å, degrees): 5.3576 5.3576 5.3576 148.98 131.24 58.92
Sites, in units of the cell vectors:
Co (0.0000, 0.0000, 0.0000)
Ir (0.7515, 0.2515, 0.5000)
Se (0.2159, 0.7159, 0.5000)
Se (0.5111, 0.5111, 0.0000)

***

[4]
# LiCl2

An optimized crystal structure of LiCl2 (GGA-PBEsol, Alexandria via LeMat-Bulk).

The calculation puts the polymorph energy (0 for the lowest one) at 275 meV per atom. The space group is Fm-3m, No. 225. The value obtained for the formation energy without anion corrections is -0.87 eV per atom. The theoretical density is 2.2 g cm⁻³.

Lattice parameters (Å, degrees): 4.3500 4.3500 4.3500 60.00 60.00 60.00
Sites, in units of the cell vectors:
Li (0.0000, 0.0000, 0.0000)
Cl (0.2500, 0.2500, 0.2500)
Cl (0.7500, 0.7500, 0.7500)

***

[5]
# Mg2TlPb

An optimized crystal structure of Mg2TlPb (GGA-PBEsol, Alexandria via LeMat-Bulk).

The calculation puts the polymorph energy (0 for the lowest one) at 69 meV per atom. The space group is Immm, No. 71. The theoretical density is 7.5 g cm⁻³.

Lattice parameters (Å, degrees): 5.9483 5.9483 5.9483 144.01 123.31 69.00
Sites, in units of the cell vectors:
Mg (0.2449, 0.2449, 0.0000)
Mg (0.7551, 0.7551, 0.0000)
Tl (0.0000, 0.5000, 0.5000)
Pb (0.5000, 0.0000, 0.5000)

***

[6]
# ZnCd

An optimized crystal structure of ZnCd (GGA-PBEsol, Alexandria via LeMat-Bulk).

The space group is P2_13, No. 198. The theoretical density is 8.2 g cm⁻³. The value obtained for the raw total energy is -10.276 eV per cell.

Lattice parameters (Å, degrees): 5.2344 5.2344 5.2344 90.00 90.00 90.00
Sites, in units of the cell vectors:
Zn (0.1011, 0.1011, 0.1011)
Zn (0.3989, 0.8989, 0.6011)
Zn (0.6011, 0.3989, 0.8989)
Zn (0.8989, 0.6011, 0.3989)
Cd (0.0992, 0.5992, 0.9008)
Cd (0.4008, 0.4008, 0.4008)
Cd (0.5992, 0.9008, 0.0992)
Cd (0.9008, 0.0992, 0.5992)

***

[7]
# Si2AsRh

An optimized crystal structure of Si2AsRh (GGA-PBEsol, Alexandria via LeMat-Bulk).

The calculation puts the polymorph energy (0 for the lowest one) at 34 meV per atom. The space group is Pmmm, No. 47. The value obtained for the formation energy without anion corrections is -0.22 eV per atom. The theoretical density is 6.4 g cm⁻³.

Lattice parameters (Å, degrees): 2.6988 3.2457 6.8790 90.00 90.00 90.00
Sites, in units of the cell vectors:
Si (0.0000, 0.0000, 0.2071)
Si (0.0000, 0.0000, 0.7929)
As (0.0000, 0.5000, 0.5000)
Rh (0.5000, 0.5000, 0.0000)

***

[8]
# CoAsNO2

An optimized crystal structure of CoAsNO2 (GGA-PBEsol, Alexandria via LeMat-Bulk).

The space group is P4/mmm, No. 123. The value obtained for the formation energy without anion corrections is 0.15 eV per atom. The theoretical density is 6.1 g cm⁻³.

Lattice parameters (Å, degrees): 3.7587 3.7587 3.4723 90.00 90.00 90.00
Sites, in units of the cell vectors:
Co (0.0000, 0.0000, 0.0000)
As (0.5000, 0.5000, 0.5000)
N (0.0000, 0.0000, 0.5000)
O (0.0000, 0.5000, 0.0000)
O (0.5000, 0.0000, 0.0000)